# 1
Material: Ce2PmMo2C4
Method: DFT, GGA-PBE
State: relaxed

Formation energy = -0.01 eV per formula unit

Unit cell a=14.1498 b=3.5158 c=6.0392 alpha=90.00 beta=106.93 gamma=90.00
Space group C2/m (No. 12)
Asymmetric unit:
Ce  0.1314  0.0000  0.0304 x4
Pm  0.0000  0.0000  0.5000 x2
Mo  0.1796  0.5000  0.5121 x4
C  0.0549  0.5000  0.2514 x4
C  0.2264  0.0000  0.7158 x4



# 2
Material: Tb2BeHPd6
Method: DFT, GGA-PBE
State: relaxed

Unit cell a=5.8183 b=5.8227 c=6.2567 alpha=62.64 beta=63.09 gamma=60.29
Space group P-1 (No. 2)
Asymmetric unit:
Tb  0.2410  0.2393  0.2835 x2
Be  0.5000  0.5000  0.5000 x1
H  0.0000  0.0000  0.0000 x1
Pd  0.2370  0.7420  0.7799 x2
Pd  0.2383  0.2393  0.7804 x2
Pd  0.2564  0.7627  0.2208 x2



# 3
Material: Tb3Pr6Dy
Method: DFT, GGA-PBE
State: relaxed

Offset from the most stable computed form = 0 meV per atom
Formation energy = 1.21 eV per formula unit

Unit cell a=9.9204 b=21.5782 c=6.4886 alpha=90.00 beta=90.00 gamma=90.00
Space group Cmc2_1 (No. 36)
Asymmetric unit:
Tb  0.0000  0.0793  0.0000 x4
Tb  0.1671  0.3747  0.5949 x8
Pr  0.0000  0.1997  0.2866 x4
Pr  0.0000  0.4836  0.2707 x4
Pr  0.1745  0.2193  0.7668 x8
Pr  0.1806  0.0606  0.5196 x8
Dy  0.0000  0.3428  0.0690 x4



# 4
Material: FeHPd3
Method: DFT, GGA-PBE
State: relaxed

Offset from the most stable computed form = 20 meV per atom

Unit cell a=8.1952 b=7.9672 c=3.8495 alpha=90.00 beta=90.51 gamma=90.00
Space group C2/m (No. 12)
Asymmetric unit:
Fe  0.1329  0.0000  0.2410 x4
H  0.0000  0.3643  0.0000 x4
Pd  0.1254  0.2286  0.7424 x8
Pd  0.1320  0.5000  0.2613 x4



# 5
Material: Rb2HfPtF6
Method: DFT, GGA-PBE
State: relaxed

Formation energy (no corrections) = -2.64 eV/atom

Unit cell a=7.3940 b=7.3940 c=8.1394 alpha=90.00 beta=90.00 gamma=90.00
Space group I4/mmm (No. 139)
Asymmetric unit:
Rb  0.0000  0.5000  0.2500 x4
Hf  0.0000  0.0000  0.0000 x2
Pt  0.0000  0.0000  0.5000 x2
F  0.0000  0.0000  0.2482 x4
F  0.1905  0.1905  0.0000 x8



# 6
Material: P2RuNCl
Method: DFT, GGA-PBE
State: relaxed

Offset from the most stable computed form = 0 meV per atom
Formation energy (no corrections) = 1.18 eV/atom

Unit cell a=3.9331 b=3.9331 c=4.2821 alpha=90.00 beta=90.00 gamma=90.00
Space group P4/mmm (No. 123)
Asymmetric unit:
P  0.0000  0.5000  0.0000 x2
Ru  0.0000  0.0000  0.5000 x1
N  0.5000  0.5000  0.0000 x1
Cl  0.5000  0.5000  0.5000 x1



# 7
Material: CaAc3Si6
Method: DFT, GGA-PBE
State: relaxed

Formation energy (no corrections) = -0.47 eV/atom

Unit cell a=12.2799 b=12.2799 c=11.7134 alpha=90.00 beta=90.00 gamma=120.00
Space group R-3c (No. 167, hexagonal axes)
Asymmetric unit:
Ca  0.0000  0.0000  0.0000 x6
Ac  0.0000  0.4401  0.2500 x18
Si  0.0740  0.2267  0.3316 x36



# 8
Material: Dy5Y2Tm6
Method: DFT, GGA-PBE
State: relaxed

Formation energy = 1.30 eV per formula unit

Unit cell a=11.5600 b=20.0270 c=3.5378 alpha=90.00 beta=90.00 gamma=90.00
Space group Pbam (No. 55)
Asymmetric unit:
Dy  0.0000  0.0000  0.0000 x2
Dy  0.0926  0.2745  0.0000 x4
Dy  0.1993  0.5498  0.0000 x4
Y  0.1655  0.7109  0.5000 x4
Tm  0.0590  0.4196  0.5000 x4
Tm  0.0817  0.1322  0.5000 x4
Tm  0.1740  0.8669  0.0000 x4



For each record above, in turn, the calculated DOS at the Fermi energy values are 8.73 1.31 16.29 3.20 0.00 2.57 4.95 16.96 states/eV/f.u..
For each record above, in turn, the calculated total DFT energy (no corrections) values are -8.35 -5.49 -4.60 -5.53 -5.56 -4.88 -5.15 -4.73 eV per atom.
For each record above, in turn, the calculated spin magnetization values are 0.0001 0.0000 0.0000 0.7694 0.0000 0.0000 0.0000 0.0000 μB per atom.